No. 1
VASP calculation (PBE) on a relaxed structure of Ce3PmHo4Se8.

extended XYZ file:
```
16
Lattice="4.1041 2.3695 6.8217 -4.1041 2.3695 6.8217 0.0000 -4.7391 6.8217" Properties=species:S:1:pos:R:3 pbc="T T T"
Ce -2.0521 -1.1848 6.8217
Ce -2.0521 1.1848 13.6434
Ce 0.0000 2.3695 6.8217
Pm 0.0000 0.0000 0.0000
Ho -4.1041 0.0000 10.2326
Ho -2.0521 1.1848 3.4108
Ho 2.0521 1.1848 3.4109
Ho 0.0000 0.0000 10.2326
Se 0.0000 0.0000 5.0229
Se -2.0528 -1.1852 11.8480
Se 0.0000 -2.3704 8.6171
Se -2.0528 1.1852 8.6171
Se 2.0528 -1.1852 11.8480
Se 0.0000 2.3704 11.8480
Se 2.0528 1.1852 8.6171
Se 0.0000 0.0000 15.4422
```

## Properties
The value obtained for the total magnetization is 3.0 Bohr magnetons per cell. The raw formation energy comes out at -28.6 eV/f.u. As for the space group: R-3m. Its crystal system is trigonal.

=====

No. 2
VASP calculation (PBE) on a relaxed structure of Rb4AuSe.

extended XYZ file:
```
6
Lattice="5.7379 0.0000 0.0000 0.0000 5.7379 0.0000 0.0000 0.0000 8.6358" Properties=species:S:1:pos:R:3 pbc="T T T"
Rb 0.0000 2.8689 2.0656
Rb 0.0000 2.8689 6.5701
Rb 2.8689 0.0000 2.0656
Rb 2.8689 0.0000 6.5701
Au 0.0000 0.0000 4.3179
Se 0.0000 0.0000 0.0000
```

## Properties
The value obtained for the total magnetization is 0.7 Bohr magnetons per cell. The raw formation energy comes out at -3.3 eV/f.u. As for the space group: P4/mmm. Its crystal system is tetragonal.